1.
First-principles (PBE) data for a geometry-optimized Si2PbSe structure, as listed in the Alexandria database.

* density of states at the Fermi level: 0.48 states/eV/atom
* formation energy from raw total energies: 2.15 eV/f.u.
* offset from the most stable computed form: 474.5 meV per atom

a = 4.1096 Å, b = 4.1096 Å, c = 10.6738 Å
α = 90.00°, β = 90.00°, γ = 90.00°
Space group I4/mmm (No. 139)
Asymmetric unit:
Si (0.0000, 0.5000, 0.2500) x4
Pb (0.0000, 0.0000, 0.0000) x2
Se (0.0000, 0.0000, 0.5000) x2

---

2.
First-principles (PBE) data for a geometry-optimized SiPbSe2 structure, as listed in the Alexandria database.

* density of states at the Fermi level: 0.16 states/eV/atom
* formation energy from raw total energies: -0.61 eV/f.u.
* offset from the most stable computed form: 77.3 meV per atom

a = 3.7977 Å, b = 5.0764 Å, c = 5.8725 Å
α = 90.00°, β = 106.97°, γ = 90.00°
Space group Pm (No. 6)
Asymmetric unit:
Si (0.0000, 0.0000, 0.0000) x1
Pb (0.7073, 0.5000, 0.4833) x1
Se (0.0381, 0.5000, 0.0899) x1
Se (0.3697, 0.0000, 0.7032) x1

---

3.
First-principles (PBE) data for a geometry-optimized Si2PbSe structure, as listed in the Alexandria database.

* density of states at the Fermi level: 0.48 states/eV/atom
* formation energy from raw total energies: 1.33 eV/f.u.
* offset from the most stable computed form: 270.4 meV per atom

a = 3.4496 Å, b = 5.7065 Å, c = 9.1718 Å
α = 90.00°, β = 90.00°, γ = 90.00°
Space group Imm2 (No. 44)
Asymmetric unit:
Si (0.0000, 0.0000, 0.0000) x2
Si (0.0000, 0.5000, 0.3128) x2
Pb (0.0000, 0.5000, 0.7857) x2
Se (0.0000, 0.0000, 0.6168) x2

---

- What is the density of states at the Fermi level in the first record?
  0.48 states/eV/atom